[1]
Compound: Pm8Si3Br4Cl
Source: Alexandria via LeMat-Bulk
Functional: GGA-PBE
Structure: optimized geometry

abc: 8.4376 8.6958 8.4399
angles: 119.04 119.99 90.00
Last column: nearest neighbours and their distance in Å.
Element x y z (fractional)
Pm1 0.7564 0.2904 0.0342  2 Si 2.82, 1 Cl 2.96, 1 Br 3.13
Pm2 0.2632 0.2895 0.5264  3 Si 2.87, 3 Br 3.21
Pm3 0.7368 0.7105 0.4736  3 Si 2.87, 3 Br 3.21
Pm4 0.2778 0.2904 0.0342  2 Si 2.82, 1 Cl 2.96, 1 Br 3.13
Pm5 0.2440 0.7098 0.4880  2 Si 2.82, 1 Cl 2.96, 1 Br 3.13
Pm6 0.7560 0.2902 0.5120  2 Si 2.82, 1 Cl 2.96, 1 Br 3.13
Pm7 0.7222 0.7096 0.9658  2 Si 2.82, 1 Cl 2.96, 1 Br 3.13
Pm8 0.2436 0.7096 0.9658  2 Si 2.82, 1 Cl 2.96, 1 Br 3.13
Br1 0.5000 0.0000 0.0000  6 Pm 3.13
Br2 0.0000 0.0000 0.0000  6 Pm 3.21-3.25
Br3 0.5000 0.0000 0.5000  6 Pm 3.21-3.25
Br4 0.0000 0.0000 0.5000  6 Pm 3.21-3.25
Si1 0.5000 0.5000 0.0000  6 Pm 2.82-2.87
Si2 0.5000 0.5000 0.5000  6 Pm 2.82-2.87
Si3 0.0000 0.5000 0.5000  6 Pm 2.82-2.87
Cl1 0.0000 0.5000 0.0000  6 Pm 2.96

Summary:
Energy relative to the elements, uncorrected, meV per atom: -1130

[2]
Compound: Pm4TcBr2Cl
Source: Alexandria via LeMat-Bulk
Functional: GGA-PBE
Structure: optimized geometry

abc: 3.7297 7.6524 8.0532
angles: 102.91 90.00 90.00
Last column: nearest neighbours and their distance in Å.
Element x y z (fractional)
Pm1 0.0000 0.2725 0.7815  2 Tc 2.87, 1 Cl 3.01, 1 Br 3.15
Pm2 0.5000 0.2717 0.2066  1 Tc 2.67
Pm3 0.0000 0.7275 0.2185  2 Tc 2.87, 1 Cl 3.01, 1 Br 3.15
Pm4 0.5000 0.7283 0.7934  1 Tc 2.67
Br1 0.0000 0.5000 0.5000  6 Pm 3.15-3.20
Br2 0.5000 0.0000 0.5000  6 Pm 3.29-3.48
Tc1 0.5000 0.5000 0.0000  6 Pm 2.67-2.87
Cl1 0.0000 0.0000 0.0000  6 Pm 3.00-3.01

Summary:
Energy relative to the elements, uncorrected, meV per atom: -890

[3]
Compound: PmTl2Br3Cl3
Source: Alexandria via LeMat-Bulk
Functional: GGA-PBE
Structure: optimized geometry

abc: 4.0693 8.4858 8.4858
angles: 120.00 90.00 90.00
Last column: nearest neighbours and their distance in Å.
Element x y z (fractional)
Cl1 0.5000 0.0000 0.7704  2 Pm 2.82
Cl2 0.5000 0.2296 0.2296  2 Pm 2.82
Cl3 0.5000 0.7704 0.0000  2 Pm 2.82
Tl1 0.5000 0.6667 0.3333  6 Br 3.29, 3 Cl 3.36
Tl2 0.5000 0.3333 0.6667  6 Br 3.29, 3 Cl 3.36
Br1 0.0000 0.5981 0.5981  4 Tl 3.29, 1 Pm 3.41, 4 Cl 3.59
Br2 0.0000 0.0000 0.4019  4 Tl 3.29, 1 Pm 3.41, 4 Cl 3.59
Br3 0.0000 0.4019 0.0000  4 Tl 3.29, 1 Pm 3.41, 4 Cl 3.59
Pm1 0.0000 0.0000 0.0000  6 Cl 2.82

Summary:
Energy relative to the elements, uncorrected, meV per atom: -1319

[4]
Compound: Pr2Br2Cl
Source: Alexandria via LeMat-Bulk
Functional: GGA-PBE
Structure: optimized geometry

abc: 5.9365 7.0760 8.8308
angles: 62.67 70.36 65.20
Last column: nearest neighbours and their distance in Å.
Element x y z (fractional)
Pr1 0.8393 0.7474 0.5740  1 Cl 2.90, 5 Br 3.04-3.08
Pr2 0.5094 0.2597 0.7215  2 Cl 2.87-2.96, 4 Br 2.99-3.12
Pr3 0.1607 0.2526 0.4260  1 Cl 2.90, 5 Br 3.04-3.08
Pr4 0.4906 0.7403 0.2785  2 Cl 2.87-2.96, 4 Br 2.99-3.12
Br1 0.0200 0.7574 0.2026  4 Pr 3.03-3.08
Br2 0.9800 0.2426 0.7974  4 Pr 3.03-3.08
Br3 0.7005 0.2489 0.3501  5 Pr 2.99-3.12
Br4 0.2995 0.7511 0.6499  5 Pr 2.99-3.12
Cl1 0.6524 0.7838 0.9113  3 Pr 2.87-2.96
Cl2 0.3476 0.2162 0.0887  3 Pr 2.87-2.96

Summary:
Energy relative to the elements, uncorrected, meV per atom: -1571

[5]
Compound: PrBr2Cl
Source: Alexandria via LeMat-Bulk
Functional: GGA-PBE
Structure: optimized geometry

abc: 4.1214 7.3978 9.2365
angles: 90.00 90.00 106.12
Last column: nearest neighbours and their distance in Å.
Element x y z (fractional)
Cl1 0.3886 0.7781 0.2500  2 Pr 2.78
Cl2 0.6114 0.2219 0.7500  2 Pr 2.78
Br1 0.8478 0.6961 0.5646  3 Pr 3.07-3.18, 1 Br 3.43
Br2 0.8478 0.6961 0.9354  3 Pr 3.07-3.18, 1 Br 3.43
Br3 0.1522 0.3039 0.4354  3 Pr 3.07-3.18, 1 Br 3.43
Br4 0.1522 0.3039 0.0646  3 Pr 3.07-3.18, 1 Br 3.43
Pr1 0.2421 0.4841 0.7500  2 Cl 2.78, 4 Br 3.07
Pr2 0.7579 0.5159 0.2500  2 Cl 2.78, 4 Br 3.07

Summary:
Energy relative to the elements, uncorrected, meV per atom: -2024

[6]
Compound: Pr2BrCl4
Source: Alexandria via LeMat-Bulk
Functional: GGA-PBE
Structure: optimized geometry

abc: 4.9316 4.9316 10.3859
angles: 76.27 76.27 60.00
Last column: nearest neighbours and their distance in Å.
Element x y z (fractional)
Cl1 0.6975 0.6975 0.9074  4 Pr 3.02-3.08, 3 Cl 3.32
Cl2 0.9119 0.9119 0.2643  3 Pr 2.90
Cl3 0.0881 0.0881 0.7357  3 Pr 2.90
Cl4 0.3025 0.3025 0.0926  4 Pr 3.02-3.08, 3 Cl 3.32
Br1 0.5000 0.5000 0.5000  2 Pr 2.90
Pr1 0.4032 0.4032 0.7903  7 Cl 2.90-3.08, 1 Br 2.90
Pr2 0.5968 0.5968 0.2097  7 Cl 2.90-3.08, 1 Br 2.90

Summary:
Energy relative to the elements, uncorrected, meV per atom: -1969

[7]
Compound: PrBrCl2
Source: Alexandria via LeMat-Bulk
Functional: GGA-PBE
Structure: optimized geometry

abc: 4.0966 7.2510 8.8089
angles: 90.00 90.00 106.39
Last column: nearest neighbours and their distance in Å.
Element x y z (fractional)
Cl1 0.6642 0.3283 0.0691  3 Pr 2.92-3.00, 1 Cl 3.19
Cl2 0.3358 0.6717 0.5691  3 Pr 2.92-3.00, 1 Cl 3.19
Cl3 0.3358 0.6717 0.9309  3 Pr 2.92-3.00, 1 Cl 3.19
Cl4 0.6642 0.3283 0.4309  3 Pr 2.92-3.00, 1 Cl 3.19
Br1 0.0891 0.1775 0.7500  2 Pr 2.94
Br2 0.9109 0.8225 0.2500  2 Pr 2.94
Pr1 0.2597 0.5196 0.2500  6 Cl 2.92-3.00, 2 Br 2.94
Pr2 0.7403 0.4804 0.7500  6 Cl 2.92-3.00, 2 Br 2.94

Summary:
Energy relative to the elements, uncorrected, meV per atom: -2148

[8]
Compound: PrBr2Cl
Source: Alexandria via LeMat-Bulk
Functional: GGA-PBE
Structure: optimized geometry

abc: 5.5390 8.7270 7.6137
angles: 106.62 111.33 90.00
Last column: nearest neighbours and their distance in Å.
Element x y z (fractional)
Br1 0.8540 0.4271 0.7080  2 Pr 2.94
Br2 0.8540 0.9271 0.7080  2 Pr 2.94
Br3 0.1460 0.0729 0.2920  2 Pr 2.94
Br4 0.1460 0.5729 0.2920  2 Pr 2.94
Pr1 0.9999 0.2500 0.0000  2 Cl 2.77, 4 Br 2.94
Pr2 0.0001 0.7500 0.0000  2 Cl 2.77, 4 Br 2.94
Cl1 0.5000 0.7500 0.0000  2 Pr 2.77
Cl2 0.5000 0.2500 0.0000  2 Pr 2.77

Summary:
Energy relative to the elements, uncorrected, meV per atom: -1980

[9]
Compound: PrBrCl2
Source: Alexandria via LeMat-Bulk
Functional: GGA-PBE
Structure: optimized geometry

abc: 4.3378 7.6490 7.7534
angles: 61.24 90.00 90.00
Last column: nearest neighbours and their distance in Å.
Element x y z (fractional)
Cl1 0.5000 0.0841 0.3156  3 Pr 2.95-3.01
Cl2 0.5000 0.5990 0.0887  3 Pr 2.92-3.10
Cl3 0.5000 0.3227 0.5868  3 Pr 2.92-2.96
Cl4 0.0000 0.6990 0.3936  3 Pr 2.93-3.03
Br1 0.0000 0.3685 0.9129  3 Pr 3.08-3.12
Br2 0.0000 0.9190 0.7141  3 Pr 3.05-3.17
Pr1 0.0000 0.3393 0.3278  7 Cl 2.92-3.03, 2 Br 3.12-3.17
Pr2 0.5000 0.6685 0.6605  5 Cl 2.93-3.10, 4 Br 3.05-3.08

Summary:
Energy relative to the elements, uncorrected, meV per atom: -2155

[10]
Compound: Pr2Br5Cl
Source: Alexandria via LeMat-Bulk
Functional: GGA-PBE
Structure: optimized geometry

abc: 4.9273 7.6592 7.6592
angles: 72.58 71.24 71.24
Last column: nearest neighbours and their distance in Å.
Element x y z (fractional)
Br1 0.6657 0.5185 0.1502  3 Pr 3.01-3.13, 3 Br 3.34
Br2 0.3343 0.8498 0.4815  3 Pr 3.01-3.13, 3 Br 3.34
Br3 0.6657 0.1502 0.5185  3 Pr 3.01-3.13, 3 Br 3.34
Br4 0.0000 0.5000 0.5000  2 Pr 2.86
Br5 0.3343 0.4815 0.8498  3 Pr 3.01-3.13, 3 Br 3.34
Pr1 0.2523 0.2477 0.2477  7 Br 2.86-3.13
Pr2 0.7477 0.7523 0.7523  7 Br 2.86-3.13
Cl1 0.0000 0.0000 0.0000  4 Pr 3.73, 4 Br 4.14

Summary:
Energy relative to the elements, uncorrected, meV per atom: -1690